TaTe2Br: relaxed, PBE-GGA.

Calculated values
DFT total energy: -4.406 eV/atom
Size of the total moment: 0.000 μB/cell
ΔE_f (raw): 2.19 eV/f.u.

Cell and atoms, written as POSCAR:
```
TaTe2Br
1.0
5.059 0.000 0.000
2.530 4.382 0.000
2.530 1.461 4.131
Te Br Ta
2 1 1
Cartesian
0.000 0.000 0.000
7.589 4.382 3.098
5.059 2.921 2.065
2.530 1.461 1.033
```